Entry from Alexandria: a geometry-optimized Dy2HgH2 structure (PBE).

Cell and atoms, written as POSCAR:
```
Dy2HgH2
1.0
-1.876 1.876 6.041
1.876 -1.876 6.041
1.876 1.876 -6.041
Dy Hg H
2 1 2
Direct
0.150 0.150 0.000
0.850 0.850 0.000
0.500 0.500 0.000
0.250 0.750 0.500
0.750 0.250 0.500
```

Output
Electronic total energy in eV per atom: -3.8866
Total magnetization in μB per atom: 0.00
Symmetry: I4/mmm